DFT (GGA+U) results for a geometry-optimized VCrF4 structure.

abc: 3.408 4.834 4.834
angles: 91.97 90.00 90.00
Element x y z (fractional)
1 V 0.500 0.500 0.500
2 Cr 0.000 0.000 0.000
3 F 0.500 0.802 0.198
4 F 0.500 0.198 0.802
5 F 0.000 0.303 0.303
6 F 0.000 0.697 0.697

Values from the calculation:
As for the total magnetic moment: 7.00 μB/cell. As for the space group: No. 65. The calculation puts the relative energy among the computed polymorphs at 0.0 meV/atom. As for the density of states at the Fermi level: 0.0 states/eV per cell.